# 1
First-principles (PBEsol) data for crystalline SrAl2Au2 at its relaxed geometry, as listed in the Alexandria database.

## Properties
The total magnetization comes out at 0.0 Bohr magnetons per cell. For the final energy, the calculation gives -0.31112 Ry/atom.

Lattice parameters (Å, degrees): 4.3196 4.3196 6.4057 109.70 109.70 90.00
Sites, in units of the cell vectors:
Au: 0.3748 0.3748 0.7496
Au: 0.6252 0.6252 0.2504
Al: 0.7500 0.2500 0.5000
Al: 0.2500 0.7500 0.5000
Sr: 0.0000 0.0000 0.0000



# 2
First-principles (PBEsol) data for crystalline SrAl2Au at its relaxed geometry, as listed in the Alexandria database.

## Properties
The total magnetization comes out at 0.0 Bohr magnetons per cell. For the final energy, the calculation gives -0.28937 Ry/atom.

Lattice parameters (Å, degrees): 4.3351 4.3495 6.2744 110.10 90.00 119.89
Sites, in units of the cell vectors:
Al: 0.7050 0.4101 0.6150
Sr: 0.5000 0.0000 0.0000
Au: 0.0000 0.0000 0.5000
Al: 0.2950 0.5899 0.3850



# 3
First-principles (PBEsol) data for crystalline Ta2AlAu at its relaxed geometry, as listed in the Alexandria database.

## Properties
The total magnetization comes out at 0.0 Bohr magnetons per cell. For the final energy, the calculation gives -0.62141 Ry/atom.

Lattice parameters (Å, degrees): 2.8411 2.8411 8.2794 90.00 90.00 90.00
Sites, in units of the cell vectors:
Ta: 0.0000 0.0000 0.9915
Au: 0.5000 0.5000 0.7362
Ta: 0.5000 0.5000 0.2644
Al: 0.0000 0.0000 0.5078



# 4
First-principles (PBEsol) data for crystalline TaAl4Au at its relaxed geometry, as listed in the Alexandria database.

## Properties
The total magnetization comes out at 0.0 Bohr magnetons per cell. For the final energy, the calculation gives -0.39521 Ry/atom.

Lattice parameters (Å, degrees): 5.1351 5.1351 5.1351 60.00 60.00 60.00
Sites, in units of the cell vectors:
Al: 0.3747 0.8759 0.3747
Al: 0.3747 0.3747 0.3747
Ta: 0.0000 0.0000 0.0000
Al: 0.3747 0.3747 0.8759
Au: 0.7500 0.7500 0.7500
Al: 0.8759 0.3747 0.3747